1.
# LaHfNO2

A relaxed structure of LaHfNO2 (PBE-GGA, the Alexandria database).

Cell lengths 4.0791, 4.0791, 4.3041 Å; angles 90.00, 90.00, 90.00 degrees
Fractional coordinates of all 5 atoms:
1 O 0.0000 0.5000 0.0000
2 O 0.5000 0.0000 0.0000
3 La 0.5000 0.5000 0.5000
4 N 0.0000 0.0000 0.5000
5 Hf 0.0000 0.0000 0.0000

**Spin magnetization**: 0.00 μB per formula unit
**Space group**: No. 123
**ΔE_f (raw)**: -2.70 eV/atom
**VASP energy**: -9.320 eV/atom


2.
# LaHfNO2

A relaxed structure of LaHfNO2 (PBE-GGA, the Alexandria database).

Cell lengths 4.4305, 4.4305, 4.5633 Å; angles 90.00, 90.00, 90.00 degrees
Fractional coordinates of all 5 atoms:
1 Hf 0.5000 0.5000 0.5000
2 O 0.5000 0.0000 0.0000
3 N 0.0000 0.0000 0.5000
4 O 0.0000 0.5000 0.0000
5 La 0.0000 0.0000 0.0000

**Spin magnetization**: 0.00 μB per formula unit
**Space group**: No. 123
**ΔE_f (raw)**: -0.47 eV/atom
**VASP energy**: -7.095 eV/atom


3.
# La2HfPaN4

A relaxed structure of La2HfPaN4 (PBE-GGA, the Alexandria database).

Cell lengths 3.4796, 5.9887, 6.2746 Å; angles 108.25, 90.00, 90.00 degrees
Fractional coordinates of all 8 atoms:
1 Hf 0.0000 0.0000 0.0000
2 La 0.5000 0.0000 0.5000
3 N 0.0000 0.2552 0.8008
4 La 0.0000 0.5000 0.5000
5 Pa 0.5000 0.5000 0.0000
6 N 0.5000 0.7733 0.8014
7 N 0.0000 0.7448 0.1992
8 N 0.5000 0.2267 0.1986

**Spin magnetization**: 0.00 μB per formula unit
**Space group**: No. 10
**ΔE_f (raw)**: -1.58 eV/atom
**VASP energy**: -9.410 eV/atom


4.
# LaHfPaN4

A relaxed structure of LaHfPaN4 (PBE-GGA, the Alexandria database).

Cell lengths 4.0357, 4.0357, 6.9707 Å; angles 106.83, 106.83, 90.00 degrees
Fractional coordinates of all 7 atoms:
1 Hf 0.0108 0.0108 0.0217
2 N 0.1869 0.1869 0.3738
3 La 0.6595 0.6595 0.3190
4 N 0.9747 0.4747 0.9494
5 Pa 0.3673 0.3673 0.7345
6 N 0.4747 0.9747 0.9494
7 N 0.8261 0.8261 0.6523

**Spin magnetization**: 0.00 μB per formula unit
**Space group**: No. 107
**ΔE_f (raw)**: -1.41 eV/atom
**VASP energy**: -9.651 eV/atom


5.
# La2HfPbN

A relaxed structure of La2HfPbN (PBE-GGA, the Alexandria database).

Cell lengths 5.3227, 5.3227, 4.3561 Å; angles 90.00, 90.00, 90.00 degrees
Site moments in Bohr magnetons follow the coordinates.
Fractional coordinates of all 5 atoms:
1 La 0.0000 0.5000 0.0000  0.07
2 Pb 0.5000 0.5000 0.5000  -0.02
3 N 0.0000 0.0000 0.0000  -0.01
4 Hf 0.0000 0.0000 0.5000  0.32
5 La 0.5000 0.0000 0.0000  0.07

**Spin magnetization**: 0.74 μB per formula unit
**Space group**: No. 123
**ΔE_f (raw)**: -0.79 eV/atom
**VASP energy**: -7.161 eV/atom


6.
# LaHf2PdN4

A relaxed structure of LaHf2PdN4 (PBE-GGA, the Alexandria database).

Cell lengths 3.2962, 5.8748, 11.6271 Å; angles 90.00, 90.00, 106.29 degrees
Fractional coordinates of all 16 atoms:
1 Pd 0.1489 0.2977 0.2500
2 N 0.4604 0.9209 0.7500
3 Hf 0.6326 0.2653 0.0500
4 N 0.2650 0.5300 0.1004
5 Hf 0.3674 0.7347 0.9500
6 N 0.5396 0.0791 0.2500
7 Pd 0.8511 0.7023 0.7500
8 Hf 0.6326 0.2653 0.4500
9 N 0.2650 0.5300 0.3996
10 Hf 0.3674 0.7347 0.5500
11 N 0.0000 0.0000 0.0000
12 N 0.7350 0.4700 0.6004
13 N 0.7350 0.4700 0.8996
14 La 0.1152 0.2304 0.7500
15 N 0.0000 0.0000 0.5000
16 La 0.8848 0.7696 0.2500

**Spin magnetization**: 0.00 μB per formula unit
**Space group**: No. 63
**ΔE_f (raw)**: -1.13 eV/atom
**VASP energy**: -9.046 eV/atom


7.
# La2PmHfN4

A relaxed structure of La2PmHfN4 (PBE-GGA, the Alexandria database).

Cell lengths 3.5217, 6.2324, 6.1397 Å; angles 71.08, 90.00, 90.00 degrees
Fractional coordinates of all 8 atoms:
1 La 0.5000 0.0000 0.5000
2 Hf 0.5000 0.5000 0.0000
3 Pm 0.0000 0.5000 0.5000
4 N 0.0000 0.2829 0.2212
5 La 0.0000 0.0000 0.0000
6 N 0.5000 0.2771 0.7671
7 N 0.5000 0.7229 0.2329
8 N 0.0000 0.7171 0.7788

**Spin magnetization**: 0.00 μB per formula unit
**Space group**: No. 10
**ΔE_f (raw)**: -1.45 eV/atom
**VASP energy**: -8.683 eV/atom


8.
# LaPm2HfN4

A relaxed structure of LaPm2HfN4 (PBE-GGA, the Alexandria database).

Cell lengths 3.5110, 6.1702, 6.0966 Å; angles 109.11, 90.00, 90.00 degrees
Fractional coordinates of all 8 atoms:
1 N 0.0000 0.7755 0.2344
2 N 0.0000 0.2245 0.7656
3 La 0.5000 0.5000 0.0000
4 Pm 0.5000 0.0000 0.5000
5 Pm 0.0000 0.5000 0.5000
6 N 0.5000 0.7776 0.7737
7 Hf 0.0000 0.0000 0.0000
8 N 0.5000 0.2224 0.2263

**Spin magnetization**: 0.00 μB per formula unit
**Space group**: No. 10
**ΔE_f (raw)**: -1.46 eV/atom
**VASP energy**: -8.667 eV/atom